Record 1
SCAN Nb3As, PBEsol geometry; theoretical density = 8.6 g cm⁻³; E_tot = -972.87 eV per cell; SG = No. 86; Fermi-level density of states = 0.6381 states/eV per atom
1.0
5.1784 0.0000 0.0000
0.0000 10.2548 0.0000
0.0000 0.0000 10.2548
As Nb
8 24
direct
0.7323 0.4817 0.7067 As
0.2323 0.2067 0.0183 As
0.2323 0.7933 0.9817 As
0.7677 0.9817 0.2067 As
0.7677 0.0183 0.7933 As
0.2677 0.7067 0.5183 As
0.7323 0.5183 0.2933 As
0.2677 0.2933 0.4817 As
0.0078 0.8038 0.7130 Nb
0.4922 0.6962 0.7870 Nb
0.0195 0.0932 0.5849 Nb
0.7336 0.8511 0.9905 Nb
0.9922 0.7130 0.1962 Nb
0.9805 0.5849 0.9068 Nb
0.7336 0.1489 0.0095 Nb
0.9805 0.4151 0.0932 Nb
0.0195 0.9068 0.4151 Nb
0.4805 0.4068 0.9151 Nb
0.2336 0.4905 0.6489 Nb
0.5195 0.9151 0.5932 Nb
0.9922 0.2870 0.8038 Nb
0.4922 0.3038 0.2130 Nb
0.2664 0.9905 0.1489 Nb
0.7664 0.3511 0.4905 Nb
0.2336 0.5095 0.3511 Nb
0.4805 0.5932 0.0849 Nb
0.7664 0.6489 0.5095 Nb
0.5078 0.7870 0.3038 Nb
0.5078 0.2130 0.6962 Nb
0.2664 0.0095 0.8511 Nb
0.0078 0.1962 0.2870 Nb
0.5195 0.0849 0.4068 Nb

***

Record 2
SCAN NbNiAs2, PBEsol geometry; theoretical density = 8.3 g cm⁻³; E_tot = -367.64 eV per cell; SG = No. 62; Fermi-level density of states = 0.3703 states/eV per atom
1.0
-1.4846 -2.4353 -2.0321
-2.2540 -2.3823 4.5017
-10.0656 7.1737 -1.2434
Ni As Nb
4 8 4
direct
0.2500 0.0218 0.4135 Ni
0.7500 0.4782 0.9135 Ni
0.2500 0.5218 0.0865 Ni
0.7500 0.9782 0.5865 Ni
0.2500 0.6428 0.8108 As
0.2500 0.1952 0.9631 As
0.2500 0.6952 0.5369 As
0.2500 0.1428 0.6892 As
0.7500 0.8048 0.0369 As
0.7500 0.8572 0.3108 As
0.7500 0.3048 0.4631 As
0.7500 0.3572 0.1892 As
0.7500 0.9887 0.8281 Nb
0.7500 0.4887 0.6719 Nb
0.2500 0.5113 0.3281 Nb
0.2500 0.0113 0.1719 Nb

***

Record 3
SCAN Nb2AsO, PBEsol geometry; raw formation energy = -642 meV/atom; theoretical density = 8.2 g cm⁻³; SG = No. 225; Fermi-level density of states = 0.9402 states/eV per atom
1.0
-3.3747 1.5140 2.1839
0.0264 -0.0435 4.2950
0.3321 3.6843 2.1831
As Nb O
1 2 1
direct
0.5000 0.5000 0.5000 As
0.7500 0.7500 0.7500 Nb
0.2500 0.2500 0.2500 Nb
0.0000 0.0000 0.0000 O

***

Record 4
SCAN Nb9AsO25, PBEsol geometry; raw formation energy = -2596 meV/atom; theoretical density = 4.5 g cm⁻³; SG = No. 5; Fermi-level density of states = 0.0000 states/eV per atom
1.0
-2.1427 2.1154 2.4106
-2.4752 -7.8759 7.7970
8.1273 3.8418 6.9384
As O Nb
1 25 9
direct
0.7498 0.5000 0.5000 As
0.3903 0.3645 0.8608 O
0.9965 0.7299 0.2919 O
0.8451 0.5102 0.8044 O
0.2294 0.6065 0.9576 O
0.7108 0.2919 0.2701 O
0.9509 0.1673 0.9346 O
0.1212 0.9345 0.8327 O
0.4602 0.4760 0.6262 O
0.0527 0.8327 0.0654 O
0.5128 0.0000 0.0000 O
0.2445 0.1392 0.3645 O
0.6441 0.1956 0.5103 O
0.3500 0.8044 0.4897 O
0.9132 0.6262 0.5240 O
0.7935 0.3935 0.0424 O
0.8121 0.9576 0.3935 O
0.0183 0.2701 0.7081 O
0.0634 0.3738 0.4760 O
0.1632 0.0424 0.6065 O
0.1597 0.4898 0.1956 O
0.2728 0.7081 0.7299 O
0.8883 0.0655 0.1673 O
0.7483 0.8608 0.6355 O
0.5625 0.5240 0.3738 O
0.6156 0.6355 0.1392 O
0.3173 0.5573 0.7895 Nb
0.7798 0.1127 0.3256 Nb
0.2181 0.8873 0.6744 Nb
0.6641 0.4427 0.2105 Nb
0.1063 0.6744 0.1126 Nb
0.1248 0.2105 0.5574 Nb
0.8934 0.3256 0.8874 Nb
0.0372 0.0000 0.0000 Nb
0.8927 0.7895 0.4426 Nb

***

Record 5
SCAN Nb9AsO25, PBEsol geometry; raw formation energy = -2596 meV/atom; theoretical density = 4.5 g cm⁻³; SG = No. 85; Fermi-level density of states = 0.0000 states/eV per atom
1.0
3.8566 0.0000 0.0000
0.0000 15.8250 0.0000
0.0000 0.0000 15.8250
O Nb As
50 18 2
direct
0.2514 0.2188 0.9891 O
0.7495 0.3530 0.3427 O
0.2514 0.5109 0.7188 O
0.2426 0.7179 0.1755 O
0.7607 0.0751 0.0509 O
0.7483 0.6126 0.2519 O
0.7607 0.5509 0.4249 O
0.7629 0.5000 0.0000 O
0.7486 0.2812 0.5109 O
0.7467 0.8835 0.5507 O
0.2505 0.1470 0.1573 O
0.2517 0.2519 0.3874 O
0.7467 0.0507 0.6165 O
0.2371 0.0000 0.5000 O
0.2533 0.5507 0.1165 O
0.2426 0.3245 0.2179 O
0.2393 0.0509 0.9249 O
0.2505 0.3427 0.6470 O
0.7486 0.0109 0.2188 O
0.7486 0.9891 0.7812 O
0.2517 0.7481 0.6126 O
0.7574 0.2179 0.6755 O
0.7495 0.1573 0.8530 O
0.7495 0.6470 0.6573 O
0.7574 0.1755 0.2821 O
0.7574 0.7821 0.3245 O
0.2426 0.6755 0.7821 O
0.7607 0.9249 0.9491 O
0.2426 0.2821 0.8245 O
0.2533 0.4493 0.8835 O
0.7467 0.1165 0.4493 O
0.7607 0.4491 0.5751 O
0.2514 0.4891 0.2812 O
0.2533 0.3835 0.0507 O
0.7495 0.8427 0.1470 O
0.7483 0.3874 0.7481 O
0.2505 0.6573 0.3530 O
0.2393 0.5751 0.5509 O
0.7483 0.2481 0.1126 O
0.7574 0.8245 0.7179 O
0.2517 0.8874 0.2481 O
0.7483 0.7519 0.8874 O
0.7486 0.7188 0.4891 O
0.2393 0.4249 0.4491 O
0.2533 0.6165 0.9493 O
0.2517 0.1126 0.7519 O
0.7467 0.9493 0.3835 O
0.2505 0.8530 0.8427 O
0.2514 0.7812 0.0109 O
0.2393 0.9491 0.0751 O
0.7521 0.8935 0.2809 Nb
0.2596 0.6160 0.6733 Nb
0.7404 0.3267 0.6160 Nb
0.2479 0.2809 0.1065 Nb
0.7404 0.6733 0.3840 Nb
0.2479 0.3935 0.7809 Nb
0.2479 0.7191 0.8935 Nb
0.7521 0.1065 0.7191 Nb
0.7404 0.1160 0.1733 Nb
0.7126 0.0000 0.5000 Nb
0.2596 0.3840 0.3267 Nb
0.2479 0.6065 0.2191 Nb
0.2874 0.5000 0.0000 Nb
0.2596 0.8267 0.1160 Nb
0.7521 0.7809 0.6065 Nb
0.2596 0.1733 0.8840 Nb
0.7404 0.8840 0.8267 Nb
0.7521 0.2191 0.3935 Nb
0.0000 0.5000 0.5000 As
0.0000 0.0000 0.0000 As

***

Record 6
SCAN NbAsOs3, PBEsol geometry; theoretical density = 11.8 g cm⁻³; E_tot = -256.25 eV per cell; SG = No. 221; Fermi-level density of states = 0.6597 states/eV per atom
1.0
4.7003 0.0000 0.0000
0.0000 4.7003 0.0000
0.0000 0.0000 4.7003
Os Nb As
3 1 1
direct
0.0000 0.0000 0.5000 Os
0.0000 0.5000 0.0000 Os
0.5000 0.0000 0.0000 Os
0.0000 0.0000 0.0000 Nb
0.5000 0.5000 0.5000 As

***

Number 1 is which compound? Nb3As

***

Number 6 is which compound? NbAsOs3

***

The highest theoretical density belongs to which entry? NbAsOs3